DFT (PBE) results for Pr2NdEr2Th2 after structural relaxation.

```
Pr2NdEr2Th2
1.0
5.991 -2.820 0.000
5.991 2.820 0.000
-2.953 0.000 7.372
Pr Nd Er Th
2 1 2 2
Cartesian
0.271 0.000 2.876 Pr
8.758 0.000 4.496 Pr
5.991 0.000 0.000 Nd
3.687 0.000 2.358 Er
5.342 0.000 5.014 Er
-0.677 0.000 6.734 Th
9.706 0.000 0.638 Th
```

Values from the calculation:
Spin magnetization (μB per cell): 0.0
Energy (eV per atom): -5.2268